DFT (GGA+U) results for a relaxed BeNiO crystal.

The structure in POSCAR format:
```
BeNiO
1.0
2.654 0.000 0.000
0.000 5.548 0.000
-2.653 0.000 4.557
Be Ni O
2 2 2
Cartesian
0.000 0.079 0.000 Be
-1.327 5.469 2.278 Be
-1.334 2.614 3.783 Ni
-0.007 2.934 1.505 Ni
-1.326 0.171 3.792 O
0.000 5.377 1.513 O
```

space group = Pc
mass density = 4.14 g/cm3
magnetic moment = 1.0 μB/f.u.
E_tot = -5.02 eV per atom